1.
## Pr3Mg5Ni2 (PBE)

Data for a relaxed Pr3Mg5Ni2 crystal.

Summary:
The formation energy from the elements is -0.8 eV per formula unit. The volume comes out at 246 Å³/f.u.

Cell and atoms, written as CIF:
```
data_Pr3Mg5Ni2
_space_group_name_H-M_alt 'I b a m'
_space_group_IT_number 72
_space_group_name_Hall '-I 2 2c'
_cell_length_a 11.754
_cell_length_b 13.012
_cell_length_c 6.444
_cell_angle_alpha 90.00
_cell_angle_beta 90.00
_cell_angle_gamma 90.00
loop_
_atom_site_label
_atom_site_type_symbol
_atom_site_fract_x
_atom_site_fract_y
_atom_site_fract_z
Pr1 Pr 0.000 0.000 0.250
Pr2 Pr 0.244 0.167 0.000
Mg1 Mg 0.000 0.269 0.250
Mg2 Mg 0.000 0.500 0.250
Mg3 Mg 0.188 0.420 0.000
Ni1 Ni 0.119 0.154 0.500
```



2.
## PrMgNi4 (PBE)

Data for a relaxed PrMgNi4 crystal.

Summary:
The formation energy from the elements is -1.8 eV per formula unit. The volume comes out at 90 Å³/f.u.

Cell and atoms, written as CIF:
```
data_PrMgNi4
_space_group_name_H-M_alt 'R 3 m'
_space_group_IT_number 160
_space_group_name_Hall 'R 3 -2"'
_cell_length_a 5.0347
_cell_length_b 5.0347
_cell_length_c 12.3091
_cell_angle_alpha 90.00
_cell_angle_beta 90.00
_cell_angle_gamma 120.00
loop_
_atom_site_label
_atom_site_type_symbol
_atom_site_fract_x
_atom_site_fract_y
_atom_site_fract_z
Pr1 Pr 0.0000 0.0000 0.0000
Mg1 Mg 0.0000 0.0000 0.7499
Ni1 Ni 0.0000 0.0000 0.3766
Ni2 Ni 0.1688 0.3376 0.2080
```



3.
## PrMgNi5 (PBE)

Data for a relaxed PrMgNi5 crystal.

Summary:
The formation energy from the elements is -1.7 eV per formula unit. The volume comes out at 103 Å³/f.u.

Cell and atoms, written as CIF:
```
data_PrMgNi5
_space_group_name_H-M_alt 'P n m a'
_space_group_IT_number 62
_cell_length_a 8.156
_cell_length_b 4.894
_cell_length_c 10.337
_cell_angle_alpha 90.00
_cell_angle_beta 90.00
_cell_angle_gamma 90.00
loop_
_space_group_symop_operation_xyz
'x,y,z'
'-x,-y,-z'
'-x+1/2,-y,z+1/2'
'x+1/2,y,-z+1/2'
'x+1/2,-y+1/2,-z+1/2'
'-x+1/2,y+1/2,z+1/2'
'-x,y+1/2,-z'
'x,-y+1/2,z'
loop_
_atom_site_label
_atom_site_type_symbol
_atom_site_fract_x
_atom_site_fract_y
_atom_site_fract_z
Pr1 Pr 0.246 0.250 0.059
Mg1 Mg 0.138 0.750 0.860
Ni1 Ni 0.047 0.750 0.111
Ni2 Ni 0.068 0.001 0.312
Ni3 Ni 0.083 0.250 0.516
Ni4 Ni 0.188 0.250 0.742
```



4.
## Pr2MgNi2 (PBE)

Data for a relaxed Pr2MgNi2 crystal.

Summary:
The formation energy from the elements is -1.4 eV per formula unit. The volume comes out at 111 Å³/f.u.

Cell and atoms, written as CIF:
```
data_Pr2MgNi2
_space_group_name_H-M_alt 'P 4/m b m'
_space_group_IT_number 127
_space_group_name_Hall '-P 4 2ab'
_cell_length_a 7.532
_cell_length_b 7.532
_cell_length_c 3.930
_cell_angle_alpha 90.00
_cell_angle_beta 90.00
_cell_angle_gamma 90.00
loop_
_atom_site_label
_atom_site_type_symbol
_atom_site_fract_x
_atom_site_fract_y
_atom_site_fract_z
Pr1 Pr 0.174 0.326 0.000
Mg1 Mg 0.000 0.000 0.500
Ni1 Ni 0.119 0.619 0.500
```



5.
## PrMg4Ni (PBE)

Data for a relaxed PrMg4Ni crystal.

Summary:
The formation energy from the elements is -0.9 eV per formula unit. The volume comes out at 135 Å³/f.u.

Cell and atoms, written as CIF:
```
data_PrMg4Ni
_space_group_name_H-M_alt 'P m m a'
_space_group_IT_number 51
_cell_length_a 8.675
_cell_length_b 4.194
_cell_length_c 7.422
_cell_angle_alpha 90.00
_cell_angle_beta 90.00
_cell_angle_gamma 90.00
loop_
_space_group_symop_operation_xyz
'x,y,z'
'-x,-y,-z'
'-x+1/2,-y,z'
'x+1/2,y,-z'
'x+1/2,-y,-z'
'-x+1/2,y,z'
'-x,y,-z'
'x,-y,z'
loop_
_atom_site_label
_atom_site_type_symbol
_atom_site_fract_x
_atom_site_fract_y
_atom_site_fract_z
Pr1 Pr 0.250 0.000 0.093
Mg1 Mg 0.000 0.000 0.500
Mg2 Mg 0.064 0.500 0.800
Mg3 Mg 0.250 0.500 0.455
Ni1 Ni 0.250 0.000 0.704
```



6.
## Pr4MgNi (PBE)

Data for a relaxed Pr4MgNi crystal.

Summary:
Its offset from the most stable computed form is 106 meV/atom. The formation energy from the elements is -0.3 eV per formula unit. The volume comes out at 181 Å³/f.u.

Cell and atoms, written as CIF:
```
data_Pr4MgNi
_space_group_name_H-M_alt 'C 1 2/c 1'
_space_group_IT_number 15
_cell_length_a 9.070
_cell_length_b 13.940
_cell_length_c 6.153
_cell_angle_alpha 90.00
_cell_angle_beta 111.36
_cell_angle_gamma 90.00
loop_
_space_group_symop_operation_xyz
'x,y,z'
'-x,-y,-z'
'-x,y,-z+1/2'
'x,-y,z+1/2'
'x+1/2,y+1/2,z'
'-x+1/2,-y+1/2,-z'
'-x+1/2,y+1/2,-z+1/2'
'x+1/2,-y+1/2,z+1/2'
loop_
_atom_site_label
_atom_site_type_symbol
_atom_site_fract_x
_atom_site_fract_y
_atom_site_fract_z
Pr1 Pr 0.113 0.184 0.071
Pr2 Pr 0.237 0.423 0.362
Mg1 Mg 0.000 0.385 0.750
Ni1 Ni 0.000 0.001 0.750
```



7.
## PrMgNi10 (PBE)

Data for a relaxed PrMgNi10 crystal.

Summary:
The formation energy from the elements is -1.6 eV per formula unit. The volume comes out at 162 Å³/f.u.

Cell and atoms, written as CIF:
```
data_PrMgNi10
_space_group_name_H-M_alt 'P m m m'
_space_group_IT_number 47
_cell_length_a 3.990
_cell_length_b 4.838
_cell_length_c 8.416
_cell_angle_alpha 90.00
_cell_angle_beta 90.00
_cell_angle_gamma 90.00
loop_
_space_group_symop_operation_xyz
'x,y,z'
'-x,-y,-z'
'-x,-y,z'
'x,y,-z'
'x,-y,-z'
'-x,y,z'
'-x,y,-z'
'x,-y,z'
loop_
_atom_site_label
_atom_site_type_symbol
_atom_site_fract_x
_atom_site_fract_y
_atom_site_fract_z
Pr1 Pr 0.000 0.000 0.000
Mg1 Mg 0.000 0.500 0.500
Ni1 Ni 0.000 0.000 0.344
Ni2 Ni 0.000 0.500 0.184
Ni3 Ni 0.500 0.000 0.500
Ni4 Ni 0.500 0.252 0.257
Ni5 Ni 0.500 0.500 0.000
```



8.
## PrMg2Ni (PBE)

Data for a relaxed PrMg2Ni crystal.

Summary:
The formation energy from the elements is -0.9 eV per formula unit. The volume comes out at 88 Å³/f.u.

Cell and atoms, written as CIF:
```
data_PrMg2Ni
_space_group_name_H-M_alt 'P n m a'
_space_group_IT_number 62
_cell_length_a 15.499
_cell_length_b 8.250
_cell_length_c 5.527
_cell_angle_alpha 90.00
_cell_angle_beta 90.00
_cell_angle_gamma 90.00
loop_
_space_group_symop_operation_xyz
'x,y,z'
'-x,-y,-z'
'-x+1/2,-y,z+1/2'
'x+1/2,y,-z+1/2'
'x+1/2,-y+1/2,-z+1/2'
'-x+1/2,y+1/2,z+1/2'
'-x,y+1/2,-z'
'x,-y+1/2,z'
loop_
_atom_site_label
_atom_site_type_symbol
_atom_site_fract_x
_atom_site_fract_y
_atom_site_fract_z
Pr1 Pr 0.105 0.250 0.243
Pr2 Pr 0.136 0.750 0.050
Mg1 Mg 0.041 0.056 0.735
Mg2 Mg 0.213 0.557 0.540
Ni1 Ni 0.068 0.750 0.537
Ni2 Ni 0.187 0.250 0.741
```



9.
## PrMgNiPt (PBE)

Data for a relaxed PrMgNiPt crystal.

Summary:
The formation energy from the elements is -2.0 eV per formula unit. The volume comes out at 79 Å³/f.u.

Cell and atoms, written as CIF:
```
data_PrMgNiPt
_space_group_name_H-M_alt 'F -4 3 m'
_space_group_IT_number 216
_space_group_name_Hall 'F -4 2 3'
_cell_length_a 6.814
_cell_length_b 6.814
_cell_length_c 6.814
_cell_angle_alpha 90.00
_cell_angle_beta 90.00
_cell_angle_gamma 90.00
loop_
_atom_site_label
_atom_site_type_symbol
_atom_site_fract_x
_atom_site_fract_y
_atom_site_fract_z
Pr1 Pr 0.000 0.000 0.000
Mg1 Mg 0.000 0.000 0.500
Ni1 Ni 0.250 0.250 0.250
Pt1 Pt 0.250 0.250 0.750
```



10.
## Pr2MgNi3Pt12 (PBE)

Data for a relaxed Pr2MgNi3Pt12 crystal.

Summary:
The formation energy from the elements is -0.9 eV per formula unit. The volume comes out at 360 Å³/f.u.

Cell and atoms, written as CIF:
```
data_Pr2MgNi3Pt12
_space_group_name_H-M_alt 'R -3 m'
_space_group_IT_number 166
_space_group_name_Hall '-R 3 2"'
_cell_length_a 8.2397
_cell_length_b 8.2397
_cell_length_c 18.3713
_cell_angle_alpha 90.00
_cell_angle_beta 90.00
_cell_angle_gamma 120.00
loop_
_atom_site_label
_atom_site_type_symbol
_atom_site_fract_x
_atom_site_fract_y
_atom_site_fract_z
Pr1 Pr 0.0000 0.0000 0.1108
Mg1 Mg 0.0000 0.0000 0.5000
Ni1 Ni 0.0000 0.5000 0.0000
Pt1 Pt 0.0116 0.5058 0.8688
Pt2 Pt 0.0175 0.5087 0.3727
```



11.
## Pr2MgSi3Ni12 (PBE)

Data for a relaxed Pr2MgSi3Ni12 crystal.

Summary:
The volume comes out at 252 Å³/f.u. Its uncorrected formation energy is -0.11 eV per atom.

Cell and atoms, written as CIF:
```
data_Pr2MgSi3Ni12
_space_group_name_H-M_alt 'R -3 m'
_space_group_IT_number 166
_space_group_name_Hall '-R 3 2"'
_cell_length_a 8.5658
_cell_length_b 8.5658
_cell_length_c 11.9123
_cell_angle_alpha 90.00
_cell_angle_beta 90.00
_cell_angle_gamma 120.00
loop_
_atom_site_label
_atom_site_type_symbol
_atom_site_fract_x
_atom_site_fract_y
_atom_site_fract_z
Pr1 Pr 0.0000 0.0000 0.1477
Mg1 Mg 0.0000 0.0000 0.5000
Si1 Si 0.0000 0.5000 0.0000
Ni1 Ni 0.0104 0.5052 0.1906
Ni2 Ni 0.0180 0.5090 0.3890
```



12.
## Pr2Mg2Si4Ni (PBE)

Data for a relaxed Pr2Mg2Si4Ni crystal.

Summary:
The volume comes out at 176 Å³/f.u. Its uncorrected formation energy is -0.37 eV per atom.

Cell and atoms, written as CIF:
```
data_Pr2Mg2Si4Ni
_space_group_name_H-M_alt 'I 4/m m m'
_space_group_IT_number 139
_space_group_name_Hall '-I 4 2'
_cell_length_a 6.383
_cell_length_b 6.383
_cell_length_c 8.632
_cell_angle_alpha 90.00
_cell_angle_beta 90.00
_cell_angle_gamma 90.00
loop_
_atom_site_label
_atom_site_type_symbol
_atom_site_fract_x
_atom_site_fract_y
_atom_site_fract_z
Pr1 Pr 0.000 0.500 0.250
Mg1 Mg 0.000 0.000 0.202
Si1 Si 0.242 0.242 0.000
Ni1 Ni 0.000 0.000 0.500
```